[1]
An optimized crystal structure of Ba2Si2Ni. Source: Alexandria, functional PBE-GGA.

Values from the calculation:
**E_tot**: -41.2 eV/cell
**N(E_F)**: 9.6 states/eV per cell
**Total magnetic moment**: 0.0 μB/f.u.

a = 6.6115 Å, b = 6.6115 Å, c = 5.4517 Å
α = 90.00°, β = 90.00°, γ = 90.00°
Closest atoms and distances in Å follow each position.
Space group P4/mbm (No. 127)
Inequivalent atoms, fractional coordinates:
Ba 0.1764 0.3236 0.0000 x4  6 Si 3.25-3.42, 5 Ba 3.30-3.45
Si 0.1342 0.6342 0.5000 x4  1 Si 2.51, 2 Ni 2.58
Ni 0.0000 0.0000 0.5000 x2  4 Si 2.58

[2]
An optimized crystal structure of Na3Pb2Au. Source: Alexandria, functional PBE-GGA.

Values from the calculation:
**E_tot**: -62.6 eV/cell
**Energy of formation**: -166 meV per atom
**N(E_F)**: 7.8 states/eV per cell
**Total magnetic moment**: 0.0 μB/f.u.

a = 16.9193 Å, b = 5.9069 Å, c = 6.6266 Å
α = 90.00°, β = 90.00°, γ = 90.00°
Closest atoms and distances in Å follow each position.
Space group Cmcm (No. 63)
Inequivalent atoms, fractional coordinates:
Na 0.0000 0.1616 0.2500 x4  2 Au 2.92-2.99
Na 0.1861 0.0190 0.7500 x8  5 Na 3.32-3.66, 6 Pb 3.40-3.59, 1 Au 3.65
Pb 0.1344 0.5000 0.0000 x8  2 Au 2.98, 2 Pb 3.31
Au 0.0000 0.3323 0.7500 x4  2 Na 2.92-2.99, 4 Pb 2.98

[3]
An optimized crystal structure of SmEr3Pu2Te6. Source: Alexandria, functional PBE-GGA.

Values from the calculation:
**E_tot**: -161.3 eV/cell
**N(E_F)**: 45.6 states/eV per cell
**Total magnetic moment**: 12.1 μB/f.u.

a = 19.1247 Å, b = 4.3524 Å, c = 8.7985 Å
α = 90.00°, β = 103.85°, γ = 90.00°
Closest atoms and distances in Å follow each position.
Space group C2/m (No. 12)
Inequivalent atoms, fractional coordinates:
Sm 0.0000 0.0000 0.0000 x2  6 Te 3.14
Er 0.0000 0.0000 0.5000 x2  6 Te 3.05-3.07
Er 0.1659 0.5000 0.8339 x4  6 Te 3.04-3.07
Pu 0.1658 0.5000 0.3325 x4  6 Te 3.12-3.14
Te 0.0020 0.5000 0.7439 x4  3 Er 3.04-3.05, 1 Pu 3.12, 2 Sm 3.14
Te 0.1652 0.0000 0.5880 x4  3 Er 3.07, 3 Pu 3.13-3.14
Te 0.1691 0.0000 0.0793 x4  3 Er 3.06, 2 Pu 3.13, 1 Sm 3.14

[4]
An optimized crystal structure of Li3Pa3SbN8. Source: Alexandria, functional PBE-GGA.

Values from the calculation:
**E_tot**: -348.6 eV/cell
**N(E_F)**: 26.3 states/eV per cell
**Total magnetic moment**: 0.0 μB/f.u.

a = 6.9631 Å, b = 6.9631 Å, c = 14.8020 Å
α = 90.00°, β = 90.00°, γ = 120.00°
Closest atoms and distances in Å follow each position.
Space group R-3m (No. 166, hexagonal axes)
Inequivalent atoms, fractional coordinates:
Li 0.0000 0.5000 0.0000 x9  6 N 2.40-2.49
Pa 0.0000 0.5000 0.5000 x9  6 N 2.24-2.33
Sb 0.0000 0.0000 0.5000 x3  6 N 2.19
N 0.0000 0.0000 0.2341 x6  3 Pa 2.24, 3 Li 2.49
N 0.0175 0.5088 0.2395 x18  1 Sb 2.19, 2 Pa 2.33, 2 Li 2.40